[1]
Computed, not measured: a crystal of NaMgTlPd2 relaxed with PBEsol at the SCAN level of DFT.

Summary:
Crystal system ... tetragonal
Energy relative to the elements ... 0.63 eV/atom
Space-group type ... P4/mmm

Cell: 4.7181 4.7181 5.0109 Å, 90.00 90.00 90.00°
Sites, in units of the cell vectors:
Na: 0.0000 0.0000 0.0000
Mg: 0.5000 0.5000 0.5000
Tl: 0.0000 0.0000 0.5000
Pd: 0.0000 0.5000 0.0000
Pd: 0.5000 0.0000 0.0000


[2]
Computed, not measured: a crystal of CoTc2Rh relaxed with PBEsol at the SCAN level of DFT.

Summary:
Crystal system ... cubic
Energy relative to the elements ... 0.36 eV/atom
Excess energy over the best structure of this formula in the dataset ... 418 meV/atom
Space-group type ... Fm-3m

Cell: 4.2140 4.2140 4.2140 Å, 60.00 60.00 60.00°
Sites, in units of the cell vectors:
Co: 0.0000 0.0000 0.0000
Tc: 0.2500 0.2500 0.2500
Tc: 0.7500 0.7500 0.7500
Rh: 0.5000 0.5000 0.5000


[3]
Computed, not measured: a crystal of Sr4LaMn5O15 relaxed with PBEsol at the SCAN level of DFT.

Summary:
Crystal system ... monoclinic
Space-group type ... C2/m
Formation energy (no corrections) ... -2784 meV per atom

Cell: 8.5012 8.5012 6.5850 Å, 104.91 104.91 36.89°
Sites, in units of the cell vectors:
Sr: 0.1003 0.1003 0.4013
Sr: 0.2997 0.2997 0.2004
Sr: 0.7003 0.7003 0.7996
Sr: 0.8997 0.8997 0.5987
La: 0.5000 0.5000 0.0000
Mn: 0.1010 0.1010 0.9003
Mn: 0.2993 0.2993 0.6982
Mn: 0.5000 0.5000 0.5000
Mn: 0.7007 0.7007 0.3018
Mn: 0.8990 0.8990 0.0997
O: 0.0000 0.0000 0.0000
O: 0.0000 0.5000 0.5000
O: 0.1083 0.5999 0.9009
O: 0.2011 0.2011 0.8051
O: 0.2048 0.6975 0.2950
O: 0.3025 0.7952 0.7050
O: 0.4001 0.8917 0.0991
O: 0.4016 0.4016 0.6048
O: 0.5000 0.0000 0.5000
O: 0.5984 0.5984 0.3952
O: 0.5999 0.1083 0.9009
O: 0.6975 0.2048 0.2950
O: 0.7952 0.3025 0.7050
O: 0.7989 0.7989 0.1949
O: 0.8917 0.4001 0.0991


[4]
Computed, not measured: a crystal of Ba2LiNb relaxed with PBEsol at the SCAN level of DFT.

Summary:
Crystal system ... cubic
Energy relative to the elements ... 0.65 eV/atom
Space-group type ... Fm-3m

Cell: 5.8469 5.8469 5.8469 Å, 60.00 60.00 60.00°
Sites, in units of the cell vectors:
Ba: 0.2500 0.2500 0.2500
Ba: 0.7500 0.7500 0.7500
Li: 0.0000 0.0000 0.0000
Nb: 0.5000 0.5000 0.5000


[5]
Computed, not measured: a crystal of CoWCl2 relaxed with PBEsol at the SCAN level of DFT.

Summary:
Crystal system ... cubic
Excess energy over the best structure of this formula in the dataset ... 1435 meV/atom
Space-group type ... F-43m
Formation energy (no corrections) ... 1278 meV per atom

Cell: 4.3491 4.3491 4.3491 Å, 60.00 60.00 60.00°
Sites, in units of the cell vectors:
Co: 0.0000 0.0000 0.0000
W: 0.7500 0.7500 0.7500
Cl: 0.2500 0.2500 0.2500
Cl: 0.5000 0.5000 0.5000


[6]
Computed, not measured: a crystal of YInSb2 relaxed with PBEsol at the SCAN level of DFT.

Summary:
Crystal system ... tetragonal
Space-group type ... I-42d
Formation energy (no corrections) ... -378 meV per atom

Cell: 7.9516 7.9516 7.9516 Å, 128.52 128.52 75.79°
Sites, in units of the cell vectors:
Y: 0.0000 0.0000 0.0000
Y: 0.7500 0.2500 0.5000
In: 0.2500 0.7500 0.5000
In: 0.5000 0.5000 0.0000
Sb: 0.1444 0.6250 0.0194
Sb: 0.3750 0.3945 0.5194
Sb: 0.6056 0.1250 0.9806
Sb: 0.8750 0.8556 0.4806


[7]
Computed, not measured: a crystal of CoCuOs2 relaxed with PBEsol at the SCAN level of DFT.

Summary:
Crystal system ... tetragonal
Energy relative to the elements ... 0.44 eV/atom
Excess energy over the best structure of this formula in the dataset ... 9 meV/atom
Space-group type ... I4/mmm

Cell: 4.5232 4.5232 4.5232 Å, 132.26 132.26 69.82°
Sites, in units of the cell vectors:
Co: 0.0000 0.0000 0.0000
Cu: 0.5000 0.5000 0.0000
Os: 0.2500 0.7500 0.5000
Os: 0.7500 0.2500 0.5000


[8]
Computed, not measured: a crystal of Si2BC relaxed with PBEsol at the SCAN level of DFT.

Summary:
Crystal system ... tetragonal
Space-group type ... I-42d
Formation energy (no corrections) ... 145 meV per atom

Cell: 5.4834 5.4834 5.4834 Å, 130.79 130.79 72.14°
Sites, in units of the cell vectors:
Si: 0.1066 0.6250 0.9816
Si: 0.3750 0.3566 0.4816
Si: 0.6434 0.1250 0.0184
Si: 0.8750 0.8934 0.5184
B: 0.2500 0.7500 0.5000
B: 0.5000 0.5000 0.0000
C: 0.0000 0.0000 0.0000
C: 0.7500 0.2500 0.5000


[9]
Computed, not measured: a crystal of Ho5Tl3 relaxed with PBEsol at the SCAN level of DFT.

Summary:
Crystal system ... hexagonal
Energy relative to the elements ... -0.51 eV/atom
Excess energy over the best structure of this formula in the dataset ... 0 meV/atom
Space-group type ... P6_3/mcm

Cell: 8.8504 8.8504 6.4470 Å, 90.00 90.00 120.00°
Sites, in units of the cell vectors:
Ho: 0.0000 0.2345 0.2500
Ho: 0.0000 0.7655 0.7500
Ho: 0.2345 0.0000 0.2500
Ho: 0.2345 0.2345 0.7500
Ho: 0.3333 0.6667 0.0000
Ho: 0.3333 0.6667 0.5000
Ho: 0.6667 0.3333 0.0000
Ho: 0.6667 0.3333 0.5000
Ho: 0.7655 0.0000 0.7500
Ho: 0.7655 0.7655 0.2500
Tl: 0.0000 0.4023 0.7500
Tl: 0.0000 0.5977 0.2500
Tl: 0.4023 0.0000 0.7500
Tl: 0.4023 0.4023 0.2500
Tl: 0.5977 0.0000 0.2500
Tl: 0.5977 0.5977 0.7500


[10]
Computed, not measured: a crystal of ThSe3 relaxed with PBEsol at the SCAN level of DFT.

Summary:
Crystal system ... monoclinic
Space-group type ... P2_1/m
Formation energy (no corrections) ... -1507 meV per atom

Cell: 5.6971 4.2065 9.6625 Å, 90.00 97.20 90.00°
Sites, in units of the cell vectors:
Th: 0.2168 0.2500 0.3445
Th: 0.7832 0.7500 0.6555
Se: 0.0340 0.2500 0.8295
Se: 0.2638 0.7500 0.5626
Se: 0.3830 0.7500 0.1649
Se: 0.6170 0.2500 0.8351
Se: 0.7362 0.2500 0.4374
Se: 0.9660 0.7500 0.1705


[11]
Computed, not measured: a crystal of CoNi relaxed with PBEsol at the SCAN level of DFT.

Summary:
Crystal system ... trigonal
Energy relative to the elements ... 0.00 eV/atom
Space-group type ... P-3m1

Cell: 2.4556 2.4556 7.9476 Å, 90.00 90.00 120.00°
Sites, in units of the cell vectors:
Co: 0.3333 0.6667 0.3779
Co: 0.6667 0.3333 0.6221
Ni: 0.3333 0.6667 0.8724
Ni: 0.6667 0.3333 0.1276


[12]
Computed, not measured: a crystal of TlPtC3 relaxed with PBEsol at the SCAN level of DFT.

Summary:
Crystal system ... cubic
Energy relative to the elements ... 3.92 eV/atom
Space-group type ... Pm-3m

Cell: 4.2472 4.2472 4.2472 Å, 90.00 90.00 90.00°
Sites, in units of the cell vectors:
Tl: 0.0000 0.0000 0.0000
Pt: 0.5000 0.5000 0.5000
C: 0.0000 0.0000 0.5000
C: 0.0000 0.5000 0.0000
C: 0.5000 0.0000 0.0000